No. 1
Here is a relaxed structure of Hg2PRu from Alexandria via LeMat-Bulk. Energies are from PBE.

Geometry as POSCAR:
```
Hg2PRu
1.0
-2.0692 2.0692 4.2003
2.0692 -2.0692 4.2003
2.0692 2.0692 -4.2003
Hg P Ru
2 1 1
direct
0.0000 0.0000 0.0000 Hg
0.7500 0.2500 0.5000 Hg
0.2500 0.7500 0.5000 P
0.5000 0.5000 0.0000 Ru
```

Values from the calculation:
- energy of formation (kJ/mol of formula units) = 250
- SG = I-4m2, No. 119
- E (eV per atom) = -3.176

=====

No. 2
Here is a relaxed structure of HgPRu3 from Alexandria via LeMat-Bulk. Energies are from PBE.

Geometry as POSCAR:
```
HgPRu3
1.0
4.9685 0.0000 0.0000
0.0000 4.9685 0.0000
0.0000 0.0000 4.9685
Hg P Ru
1 1 3
direct
0.0000 0.0000 0.0000 Hg
0.5000 0.5000 0.5000 P
0.0000 0.0000 0.5000 Ru
0.0000 0.5000 0.0000 Ru
0.5000 0.0000 0.0000 Ru
```

Values from the calculation:
- distance to the lowest polymorph of the same formula (meV per atom) = 2189
- energy of formation (kJ/mol of formula units) = 1235
- SG = Pm-3m, No. 221
- E (eV per atom) = -4.149

=====

No. 3
Here is a relaxed structure of HgPRu2 from Alexandria via LeMat-Bulk. Energies are from PBE.

Geometry as POSCAR:
```
HgPRu2
1.0
2.8562 0.0000 0.0000
0.0000 2.8562 0.0000
0.0000 0.0000 8.1926
Hg P Ru
1 1 2
direct
0.0000 0.0000 0.0000 Hg
0.5000 0.5000 0.3507 P
0.0000 0.0000 0.5204 Ru
0.5000 0.5000 0.7425 Ru
```

Values from the calculation:
- distance to the lowest polymorph of the same formula (meV per atom) = 260
- energy of formation (kJ/mol of formula units) = 77
- SG = P4mm, No. 99
- E (eV per atom) = -5.867

=====

No. 4
Here is a relaxed structure of Hg2PRu from Alexandria via LeMat-Bulk. Energies are from PBE.

Geometry as POSCAR:
```
Hg2PRu
1.0
2.9765 0.0000 0.0000
0.0000 2.9765 0.0000
0.0000 0.0000 9.0241
Hg P Ru
2 1 1
direct
0.0000 0.0000 0.0000 Hg
0.5000 0.5000 0.3292 Hg
0.0000 0.0000 0.6335 P
0.5000 0.5000 0.7603 Ru
```

Values from the calculation:
- energy of formation (kJ/mol of formula units) = 1
- SG = P4mm, No. 99
- E (eV per atom) = -3.818

=====

No. 5
Here is a relaxed structure of HgPRu3 from Alexandria via LeMat-Bulk. Energies are from PBE.

Geometry as POSCAR:
```
HgPRu3
1.0
4.3892 0.0000 0.0000
0.0000 4.3892 0.0000
0.0000 0.0000 4.3892
Hg P Ru
1 1 3
direct
0.0000 0.0000 0.0000 Hg
0.5000 0.5000 0.5000 P
0.0000 0.5000 0.5000 Ru
0.5000 0.0000 0.5000 Ru
0.5000 0.5000 0.0000 Ru
```

Values from the calculation:
- distance to the lowest polymorph of the same formula (meV per atom) = 0
- energy of formation (kJ/mol of formula units) = 179
- SG = Pm-3m, No. 221
- E (eV per atom) = -6.337

=====

No. 6
Here is a relaxed structure of Hg2PRu from Alexandria via LeMat-Bulk. Energies are from PBE.

Geometry as POSCAR:
```
Hg2PRu
1.0
-1.5008 2.4448 5.6669
1.5008 -2.4448 5.6669
1.5008 2.4448 -5.6669
Hg P Ru
2 1 1
direct
0.0000 0.0000 0.0000 Hg
0.6963 0.1963 0.5000 Hg
0.3691 0.3691 0.0000 P
0.2225 0.7225 0.5000 Ru
```

Values from the calculation:
- energy of formation (kJ/mol of formula units) = 67
- SG = Imm2, No. 44
- E (eV per atom) = -3.648

=====

No. 7
Here is a relaxed structure of HgPRu2 from Alexandria via LeMat-Bulk. Energies are from PBE.

Geometry as POSCAR:
```
HgPRu2
1.0
1.4993 -2.5487 0.0000
1.4993 2.5487 0.0000
0.0000 0.0000 8.3356
Hg P Ru
1 1 2
direct
0.0000 0.0000 0.0000 Hg
0.0000 0.0000 0.5000 P
0.5000 0.5000 0.2974 Ru
0.5000 0.5000 0.7026 Ru
```

Values from the calculation:
- distance to the lowest polymorph of the same formula (meV per atom) = 234
- energy of formation (kJ/mol of formula units) = 67
- SG = Cmmm, No. 65
- E (eV per atom) = -5.893

=====

No. 8
Here is a relaxed structure of HgPRu2 from Alexandria via LeMat-Bulk. Energies are from PBE.

Geometry as POSCAR:
```
HgPRu2
1.0
0.0000 3.1631 3.1631
3.1631 0.0000 3.1631
3.1631 3.1631 0.0000
Hg P Ru
1 1 2
direct
0.0000 0.0000 0.0000 Hg
0.2500 0.2500 0.2500 P
0.5000 0.5000 0.5000 Ru
0.7500 0.7500 0.7500 Ru
```

Values from the calculation:
- distance to the lowest polymorph of the same formula (meV per atom) = 762
- energy of formation (kJ/mol of formula units) = 271
- SG = F-43m, No. 216
- E (eV per atom) = -5.364